Entry i
Density functional theory data (PBE) for LiNd2Tm after structural relaxation.

## Properties
Space-group type ... P3m1
ρ ... 6.00 g/cm³
DOS at the Fermi energy ... 1.03 states/eV/atom

Geometry as POSCAR:
```
LiNd2Tm
1.0
3.534 0.000 0.000
-1.767 3.061 0.000
0.000 0.000 11.871
Li Nd Tm
1 2 1
direct
0.000 0.000 0.000
0.000 0.000 0.724
0.667 0.333 0.241
0.333 0.667 0.484
```

=====

Entry ii
Density functional theory data (PBE) for LiNd2Tm after structural relaxation.

## Properties
Space-group type ... P4/mmm
ρ ... 6.35 g/cm³
DOS at the Fermi energy ... 1.45 states/eV/atom

Geometry as POSCAR:
```
LiNd2Tm
1.0
3.648 0.000 0.000
0.000 3.648 0.000
0.000 0.000 9.132
Li Nd Tm
1 2 1
direct
0.000 0.000 0.000
0.500 0.500 0.232
0.500 0.500 0.768
0.000 0.000 0.500
```

=====

On energetic grounds, entry ii is preferred over the next structure by 50 meV/atom.

=====

Entry i
Density functional theory data (PBE) for LiNdTm2 after structural relaxation.

## Properties
Space-group type ... P4/mmm
ρ ... 6.93 g/cm³
DOS at the Fermi energy ... 1.53 states/eV/atom

Geometry as POSCAR:
```
LiNdTm2
1.0
5.626 0.000 0.000
0.000 5.626 0.000
0.000 0.000 3.700
Li Nd Tm
1 1 2
direct
0.000 0.000 0.000
0.500 0.500 0.000
0.000 0.500 0.500
0.500 0.000 0.500
```

=====

Entry ii
Density functional theory data (PBE) for LiNdTm2 after structural relaxation.

## Properties
Space-group type ... P4/mmm
ρ ... 7.09 g/cm³
DOS at the Fermi energy ... 1.37 states/eV/atom

Geometry as POSCAR:
```
LiNdTm2
1.0
3.629 0.000 0.000
0.000 3.629 0.000
0.000 0.000 8.691
Li Nd Tm
1 1 2
direct
0.000 0.000 0.000
0.000 0.000 0.500
0.500 0.500 0.214
0.500 0.500 0.786
```

=====

Entry iii
Density functional theory data (PBE) for LiNdTm2 after structural relaxation.

## Properties
Space-group type ... R3m
ρ ... 6.83 g/cm³
DOS at the Fermi energy ... 1.13 states/eV/atom

Geometry as POSCAR:
```
LiNdTm2
1.0
1.751 1.011 11.200
-1.751 1.011 11.200
0.000 -2.022 11.200
Li Nd Tm
1 1 2
direct
0.000 0.000 0.000
0.167 0.167 0.167
0.413 0.413 0.413
0.587 0.587 0.587
```

=====

On energetic grounds, entry ii is preferred over the next structure by 51 meV/atom.

=====

Entry i
Density functional theory data (PBE) for LiNdTmZn after structural relaxation.

## Properties
Space-group type ... F-43m
ρ ... 6.61 g/cm³
DOS at the Fermi energy ... 1.25 states/eV/atom

Geometry as POSCAR:
```
LiNdTmZn
1.0
0.000 3.645 3.645
3.645 0.000 3.645
3.645 3.645 0.000
Li Nd Tm Zn
1 1 1 1
direct
0.000 0.000 0.000
0.750 0.750 0.750
0.250 0.250 0.250
0.500 0.500 0.500
```

=====

Entry ii
Density functional theory data (PBE) for LiNdTmZn after structural relaxation.

## Properties
Space-group type ... P4mm
ρ ... 6.48 g/cm³
DOS at the Fermi energy ... 1.14 states/eV/atom

Geometry as POSCAR:
```
LiNdTmZn
1.0
3.648 0.000 0.000
0.000 3.648 0.000
0.000 0.000 7.427
Li Nd Tm Zn
1 1 1 1
direct
0.000 0.000 0.000
0.500 0.500 0.717
0.500 0.500 0.252
0.000 0.000 0.466
```

=====

On energetic grounds, entry ii is preferred over the next structure by 6 meV/atom.

=====

Entry i
Density functional theory data (PBE) for LiNdY after structural relaxation.

## Properties
Space-group type ... P3m1
ρ ... 4.35 g/cm³
DOS at the Fermi energy ... 1.15 states/eV/atom

Geometry as POSCAR:
```
LiNdY
1.0
3.547 0.000 0.000
-1.774 3.072 0.000
0.000 0.000 8.410
Li Nd Y
1 1 1
direct
0.000 0.000 0.000
0.333 0.667 0.667
0.667 0.333 0.323
```

=====

Entry ii
Density functional theory data (PBE) for LiNdY after structural relaxation.

## Properties
Space-group type ... I4mm
ρ ... 4.58 g/cm³
DOS at the Fermi energy ... 1.32 states/eV/atom

Geometry as POSCAR:
```
LiNdY
1.0
-1.870 1.870 6.225
1.870 -1.870 6.225
1.870 1.870 -6.225
Li Nd Y
1 1 1
direct
0.000 0.000 0.000
0.657 0.657 0.000
0.353 0.353 0.000
```

=====

Entry iii
Density functional theory data (PBE) for LiNdY after structural relaxation.

## Properties
Space-group type ... C2/m
ρ ... 4.55 g/cm³
DOS at the Fermi energy ... 1.05 states/eV/atom

Geometry as POSCAR:
```
LiNdY
1.0
2.601 -2.604 0.000
2.601 2.604 0.000
-0.015 0.000 12.937
Li Nd Y
2 2 2
direct
0.249 0.249 0.050
0.751 0.751 0.950
0.249 0.249 0.397
0.751 0.751 0.603
0.251 0.251 0.791
0.749 0.749 0.209
```

=====

Entry iv
Density functional theory data (PBE) for LiNdY after structural relaxation.

## Properties
Space-group type ... C2/m
ρ ... 4.60 g/cm³
DOS at the Fermi energy ... 1.24 states/eV/atom

Geometry as POSCAR:
```
LiNdY
1.0
5.742 -2.648 0.000
5.742 2.648 0.000
-3.516 0.000 5.694
Li Nd Y
2 2 2
direct
0.144 0.144 0.095
0.856 0.856 0.905
0.462 0.462 0.215
0.538 0.538 0.785
0.179 0.179 0.599
0.821 0.821 0.401
```

=====

On energetic grounds, entry iii is preferred over the next structure by 26 meV/atom.